GGA-PBE BaCa2YNb, optimized geometry; calculated formation energy = 0.91 eV/atom; VASP energy = -3.58 eV per atom
1.0
5.850 0.000 0.000
0.000 5.850 0.000
0.000 0.000 5.857
Ba Ca Y Nb
1 2 1 1
direct
0.000 0.000 0.000 Ba
0.000 0.500 0.500 Ca
0.500 0.000 0.500 Ca
0.500 0.500 0.000 Y
0.000 0.000 0.500 Nb